--- w ---
DFT (PBE) results for a geometry-optimized SbBr2 structure.

Properties
Total moment, μB per cell: 0.0

Lattice parameters (Å, degrees): 3.7583 3.7583 7.3457 90.00 90.00 120.00
Space group P-3m1 (No. 164)
One atom of each set of equivalent atoms:
Sb1 0.0000 0.0000 0.0000 x1
Br1 0.3333 0.6667 0.2916 x2

---

--- x ---
DFT (PBE) results for a geometry-optimized SbBr2 structure.

Properties
Total moment, μB per cell: 0.0

Lattice parameters (Å, degrees): 15.840 3.856 9.557 90.00 124.84 90.00
Space group C2/m (No. 12)
One atom of each set of equivalent atoms:
Sb1 0.185 0.000 0.319 x4
Br1 0.034 0.500 0.257 x4
Br2 0.215 0.000 0.759 x4

---

--- y ---
DFT (PBE) results for a geometry-optimized SbBr2 structure.

Properties
Total moment, μB per cell: 0.0

Lattice parameters (Å, degrees): 3.552 3.552 29.997 90.00 90.00 90.00
Space group I4_1/amd (No. 141, origin choice 2)
One atom of each set of equivalent atoms:
Sb1 0.000 0.250 0.375 x4
Br1 0.000 0.250 0.812 x8

---

--- z ---
DFT (PBE) results for a geometry-optimized SbBr2 structure.

Properties
Total moment, μB per cell: 0.0

Lattice parameters (Å, degrees): 3.7498 3.7498 15.4611 90.00 90.00 120.00
Space group P6_3/mmc (No. 194)
One atom of each set of equivalent atoms:
Sb1 0.0000 0.0000 0.2500 x2
Br1 0.3333 0.6667 0.1144 x4

---

Which of them is most stable, and which least? Most stable: x; least stable: y.

---

--- w ---
DFT (PBE) results for a geometry-optimized SbBr2 structure.

Properties
Total moment, μB per cell: 0.0

Lattice parameters (Å, degrees): 5.0084 5.0084 7.9721 90.00 90.00 120.00
Space group P6_3/mmc (No. 194)
One atom of each set of equivalent atoms:
Sb1 0.3333 0.6667 0.2500 x2
Br1 0.0000 0.0000 0.0000 x2
Br2 0.3333 0.6667 0.7500 x2

---

--- x ---
DFT (PBE) results for a geometry-optimized SbBr2 structure.

Properties
Total moment, μB per cell: 0.0

Lattice parameters (Å, degrees): 8.9442 8.9442 3.7985 90.00 90.00 120.00
Space group P-62m (No. 189)
One atom of each set of equivalent atoms:
Sb1 0.0000 0.0000 0.0000 x1
Sb2 0.3333 0.6667 0.5000 x2
Br1 0.0000 0.2362 0.5000 x3
Br2 0.0000 0.5574 0.0000 x3

---

--- y ---
DFT (PBE) results for a geometry-optimized SbBr2 structure.

Properties
Total moment, μB per cell: 0.0

Lattice parameters (Å, degrees): 15.599 8.011 3.867 90.00 90.00 90.00
Space group Cmcm (No. 63)
One atom of each set of equivalent atoms:
Sb1 0.000 0.177 0.250 x4
Br1 0.129 0.248 0.750 x8

---

Which of them is most stable, and which least? Most stable: y; least stable: w.

---

--- w ---
DFT (PBE) results for a geometry-optimized Sb5Br3 structure.

Properties
Total moment, μB per cell: 0.0

Lattice parameters (Å, degrees): 8.581 18.390 9.240 90.00 109.97 90.00
Space group Cm (No. 8)
One atom of each set of equivalent atoms:
Sb1 0.000 0.000 0.000 x2
Sb2 0.004 0.367 0.657 x4
Sb3 0.161 0.422 0.967 x4
Sb4 0.168 0.000 0.774 x2
Sb5 0.340 0.078 0.052 x4
Sb6 0.342 0.374 0.622 x4
Br1 0.011 0.236 0.836 x4
Br2 0.261 0.288 0.386 x4
Br3 0.274 0.500 0.418 x2
Br4 0.403 0.000 0.502 x2

---

--- x ---
DFT (PBE) results for a geometry-optimized Sb5Br3 structure.

Properties
Total moment, μB per cell: 0.0

Lattice parameters (Å, degrees): 8.545 8.932 6.224 90.00 90.00 90.00
Space group Cmmm (No. 65)
One atom of each set of equivalent atoms:
Sb1 0.000 0.000 0.000 x2
Sb2 0.164 0.000 0.500 x4
Sb3 0.250 0.250 0.000 x4
Br1 0.000 0.292 0.500 x4
Br2 0.000 0.500 0.000 x2

---

Which of them is most stable, and which least? Most stable: w; least stable: x.

---

--- w ---
DFT (PBE) results for a geometry-optimized Sb5Br structure.

Properties
Total moment, μB per cell: 0.0

Lattice parameters (Å, degrees): 5.468 11.787 5.131 90.00 90.00 90.00
Space group Cmmm (No. 65)
One atom of each set of equivalent atoms:
Sb1 0.000 0.000 0.000 x2
Sb2 0.000 0.188 0.500 x4
Sb3 0.000 0.339 0.000 x4
Br1 0.000 0.500 0.500 x2

---

--- x ---
DFT (PBE) results for a geometry-optimized Sb5Br structure.

Properties
Total moment, μB per cell: 0.0

Lattice parameters (Å, degrees): 15.335 4.189 7.231 90.00 117.39 90.00
Space group Cm (No. 8)
One atom of each set of equivalent atoms:
Sb1 0.000 0.000 0.000 x2
Sb2 0.006 0.000 0.591 x2
Sb3 0.136 0.500 0.328 x2
Sb4 0.156 0.500 0.751 x2
Sb5 0.406 0.000 0.123 x2
Br1 0.302 0.000 0.498 x2

---

Which of them is most stable, and which least? Most stable: x; least stable: w.

---

--- w ---
DFT (PBE) results for a geometry-optimized Sb4Br structure.

Properties
Total moment, μB per cell: 0.0

Lattice parameters (Å, degrees): 6.864 6.864 6.864 90.00 90.00 90.00
Space group Im-3m (No. 229)
One atom of each set of equivalent atoms:
Sb1 0.250 0.250 0.250 x8
Br1 0.000 0.000 0.000 x2

---

--- x ---
DFT (PBE) results for a geometry-optimized Sb4Br structure.

Properties
Total moment, μB per cell: 0.0

Lattice parameters (Å, degrees): 5.492 5.492 5.492 90.00 90.00 90.00
Space group Pm-3m (No. 221)
One atom of each set of equivalent atoms:
Sb1 0.000 0.000 0.000 x1
Sb2 0.000 0.500 0.500 x3
Br1 0.500 0.500 0.500 x1

---

Which of them is most stable, and which least? Most stable: w; least stable: x.

---

--- w ---
DFT (PBE) results for a geometry-optimized ScSbBr2 structure.

Properties
Total moment, μB per cell: 0.0

Lattice parameters (Å, degrees): 6.552 9.173 3.400 90.00 90.00 90.00
Space group Cmmm (No. 65)
One atom of each set of equivalent atoms:
Sc1 0.000 0.000 0.000 x2
Sb1 0.000 0.500 0.000 x2
Br1 0.250 0.250 0.500 x4

---

--- x ---
DFT (PBE) results for a geometry-optimized ScSbBr2 structure.

Properties
Total moment, μB per cell: 0.0

Lattice parameters (Å, degrees): 4.390 4.390 10.470 90.00 90.00 90.00
Space group I-4m2 (No. 119)
One atom of each set of equivalent atoms:
Sc1 0.000 0.000 0.000 x2
Sb1 0.000 0.500 0.250 x2
Br1 0.000 0.000 0.500 x2
Br2 0.000 0.500 0.750 x2

---

--- y ---
DFT (PBE) results for a geometry-optimized ScSbBr2 structure.

Properties
Total moment, μB per cell: 0.0

Lattice parameters (Å, degrees): 13.683 3.376 6.818 90.00 115.52 90.00
Space group Cm (No. 8)
One atom of each set of equivalent atoms:
Sc1 0.000 0.000 0.000 x2
Sb1 0.172 0.500 0.357 x2
Br1 0.019 0.500 0.718 x2
Br2 0.357 0.000 0.024 x2

---

--- z ---
DFT (PBE) results for a geometry-optimized ScSbBr2 structure.

Properties
Total moment, μB per cell: 0.0

Lattice parameters (Å, degrees): 3.282 3.282 11.459 90.00 90.00 90.00
Space group P4/mmm (No. 123)
One atom of each set of equivalent atoms:
Sc1 0.000 0.000 0.000 x1
Sb1 0.000 0.000 0.500 x1
Br1 0.500 0.500 0.145 x2

---

Which of them is most stable, and which least? Most stable: y; least stable: w.

---

--- w ---
DFT (PBE) results for a geometry-optimized ScSbBr2 structure.

Properties
Total moment, μB per cell: 0.0

Lattice parameters (Å, degrees): 14.931 3.631 4.962 90.00 98.88 90.00
Space group C2/m (No. 12)
One atom of each set of equivalent atoms:
Sc1 0.000 0.000 0.000 x2
Sb1 0.000 0.500 0.500 x2
Br1 0.145 0.500 0.191 x4

---

--- x ---
DFT (PBE) results for a geometry-optimized ScSbBr2 structure.

Properties
Total moment, μB per cell: 0.0

Lattice parameters (Å, degrees): 3.5325 3.5325 33.8529 90.00 90.00 120.00
Space group R-3m (No. 166, hexagonal axes)
One atom of each set of equivalent atoms:
Sc1 0.0000 0.0000 0.0000 x3
Sb1 0.0000 0.0000 0.5000 x3
Br1 0.0000 0.0000 0.3851 x6

---

--- y ---
DFT (PBE) results for a geometry-optimized ScSbBr2 structure.

Properties
Total moment, μB per cell: 0.0

Lattice parameters (Å, degrees): 9.522 9.522 5.787 90.00 90.00 90.00
Space group I-42d (No. 122)
One atom of each set of equivalent atoms:
Sc1 0.000 0.000 0.000 x4
Sb1 0.000 0.000 0.500 x4
Br1 0.112 0.250 0.125 x8

---

Which of them is most stable, and which least? Most stable: x; least stable: y.

---

--- w ---
DFT (PBE) results for a geometry-optimized ScSbBr2 structure.

Properties
Total moment, μB per cell: 0.0

Lattice parameters (Å, degrees): 7.408 7.408 7.408 90.00 90.00 90.00
Space group F-43m (No. 216)
One atom of each set of equivalent atoms:
Sc1 0.000 0.000 0.000 x4
Sb1 0.250 0.250 0.750 x4
Br1 0.000 0.000 0.500 x4
Br2 0.250 0.250 0.250 x4

---

--- x ---
DFT (PBE) results for a geometry-optimized ScSbBr2 structure.

Properties
Total moment, μB per cell: 0.0

Lattice parameters (Å, degrees): 7.299 7.299 7.299 90.00 90.00 90.00
Space group Fm-3m (No. 225)
One atom of each set of equivalent atoms:
Sc1 0.000 0.000 0.000 x4
Sb1 0.000 0.000 0.500 x4
Br1 0.250 0.250 0.250 x8

---

--- y ---
DFT (PBE) results for a geometry-optimized ScSbBr2 structure.

Properties
Total moment, μB per cell: 0.0

Lattice parameters (Å, degrees): 6.581 6.608 9.979 90.00 90.00 90.00
Space group Fmmm (No. 69)
One atom of each set of equivalent atoms:
Sc1 0.000 0.000 0.000 x4
Sb1 0.000 0.000 0.500 x4
Br1 0.250 0.000 0.250 x8

---

Which of them is most stable, and which least? Most stable: y; least stable: w.

---

--- w ---
DFT (PBE) results for a geometry-optimized ScSbBr2 structure.

Properties
Total moment, μB per cell: 0.0

Lattice parameters (Å, degrees): 3.383 5.203 15.483 90.00 90.00 90.00
Space group Imm2 (No. 44)
One atom of each set of equivalent atoms:
Sc1 0.000 0.000 0.000 x2
Sb1 0.000 0.500 0.339 x2
Br1 0.000 0.000 0.469 x2
Br2 0.000 0.500 0.631 x2

---

--- x ---
DFT (PBE) results for a geometry-optimized ScSbBr2 structure.

Properties
Total moment, μB per cell: 0.0

Lattice parameters (Å, degrees): 4.926 3.414 5.968 90.00 90.84 90.00
Space group P2/m (No. 10)
One atom of each set of equivalent atoms:
Sc1 0.000 0.000 0.000 x1
Sb1 0.000 0.500 0.500 x1
Br1 0.500 0.000 0.500 x1
Br2 0.500 0.500 0.000 x1

---

Which of them is most stable, and which least? Most stable: w; least stable: x.

---

--- w ---
DFT (PBE) results for a geometry-optimized ScSbBr2 structure.

Properties
Total moment, μB per cell: 0.4

Lattice parameters (Å, degrees): 3.5532 3.5532 32.3230 90.00 90.00 120.00
Space group R-3m (No. 166, hexagonal axes)
One atom of each set of equivalent atoms:
Sc1 0.0000 0.0000 0.0000 x3
Sb1 0.0000 0.0000 0.5000 x3
Br1 0.0000 0.0000 0.2794 x6

---

--- x ---
DFT (PBE) results for a geometry-optimized ScSbBr2 structure.

Properties
Total moment, μB per cell: 0.0

Lattice parameters (Å, degrees): 4.628 4.628 4.787 90.00 90.00 90.00
Space group P4/mmm (No. 123)
One atom of each set of equivalent atoms:
Sc1 0.000 0.000 0.000 x1
Sb1 0.500 0.500 0.000 x1
Br1 0.000 0.500 0.500 x2

---

Which of them is most stable, and which least? Most stable: w; least stable: x.